(one)
The following is a GGA-PBE calculation of crystalline LiCa2Mg2 at its relaxed geometry, from the Alexandria database. Values from VASP.

Values from the calculation:
Symmetry   I4/mmm (139)
M_tot   0.0 μB per formula unit
V   164.1 Å³/cell

The structure in Quantum ESPRESSO input format:
```
&SYSTEM
  ibrav = 0, nat = 5, ntyp = 3
/
ATOMIC_SPECIES
Li 6.94 Li.upf
Ca 40.08 Ca.upf
Mg 24.30 Mg.upf
ATOMIC_POSITIONS crystal
Li 0.0000 0.0000 0.0000
Ca 0.3998 0.3998 0.0000
Ca 0.6002 0.6002 0.0000
Mg 0.2500 0.7500 0.5000
Mg 0.7500 0.2500 0.5000
CELL_PARAMETERS angstrom
-2.0767 2.0767 9.5158
2.0767 -2.0767 9.5158
2.0767 2.0767 -9.5158
```

=====

(two)
The following is a GGA-PBE calculation of crystalline LiCa2Mg2 at its relaxed geometry, from the Alexandria database. Values from VASP.

Values from the calculation:
Symmetry   P4/mbm (127)
M_tot   0.0 μB per formula unit
V   312.9 Å³/cell

The structure in Quantum ESPRESSO input format:
```
&SYSTEM
  ibrav = 0, nat = 10, ntyp = 3
/
ATOMIC_SPECIES
Li 6.94 Li.upf
Ca 40.08 Ca.upf
Mg 24.30 Mg.upf
ATOMIC_POSITIONS crystal
Li 0.0000 0.0000 0.0000
Li 0.5000 0.5000 0.0000
Ca 0.1701 0.3299 0.5000
Ca 0.3299 0.8299 0.5000
Ca 0.6701 0.1701 0.5000
Ca 0.8299 0.6701 0.5000
Mg 0.1346 0.6346 0.0000
Mg 0.3654 0.1346 0.0000
Mg 0.6346 0.8654 0.0000
Mg 0.8654 0.3654 0.0000
CELL_PARAMETERS angstrom
7.7914 0.0000 0.0000
0.0000 7.7914 0.0000
0.0000 0.0000 5.1548
```

=====

(three)
The following is a GGA-PBE calculation of crystalline LiCa2Mg2 at its relaxed geometry, from the Alexandria database. Values from VASP.

Values from the calculation:
Symmetry   Immm (71)
M_tot   0.0 μB per formula unit
V   150.5 Å³/cell

The structure in Quantum ESPRESSO input format:
```
&SYSTEM
  ibrav = 0, nat = 5, ntyp = 3
/
ATOMIC_SPECIES
Li 6.94 Li.upf
Ca 40.08 Ca.upf
Mg 24.30 Mg.upf
ATOMIC_POSITIONS crystal
Li 0.0000 0.0000 0.0000
Ca 0.2699 0.7699 0.5000
Ca 0.7301 0.2301 0.5000
Mg 0.2878 0.5000 0.7878
Mg 0.7122 0.5000 0.2122
CELL_PARAMETERS angstrom
-1.9453 3.6215 5.3410
1.9453 -3.6215 5.3410
1.9453 3.6215 -5.3410
```

=====

(four)
The following is a GGA-PBE calculation of crystalline LiCa2Mg2 at its relaxed geometry, from the Alexandria database. Values from VASP.

Values from the calculation:
Symmetry   Ibam (72)
M_tot   0.0 μB per formula unit
V   291.5 Å³/cell

The structure in Quantum ESPRESSO input format:
```
&SYSTEM
  ibrav = 0, nat = 10, ntyp = 3
/
ATOMIC_SPECIES
Li 6.94 Li.upf
Ca 40.08 Ca.upf
Mg 24.30 Mg.upf
ATOMIC_POSITIONS crystal
Li 0.2500 0.2500 0.0000
Li 0.7500 0.7500 0.0000
Ca 0.1030 0.6512 0.7542
Ca 0.3970 0.1512 0.5483
Ca 0.6030 0.8488 0.4517
Ca 0.8970 0.3488 0.2458
Mg 0.1759 0.1329 0.3088
Mg 0.3241 0.6329 0.9571
Mg 0.6759 0.3671 0.0429
Mg 0.8241 0.8671 0.6912
CELL_PARAMETERS angstrom
-3.3833 7.3784 2.9191
3.3833 -7.3784 2.9191
3.3833 7.3784 -2.9191
```

=====

Most favorable first, least favorable last: (three), (two), (four), (one)

=====

(one)
The following is a GGA-PBE calculation of crystalline LiCa3Mg at its relaxed geometry, from the Alexandria database. Values from VASP.

Values from the calculation:
Symmetry   Cm (8)
M_tot   0.0 μB per formula unit
V   334.5 Å³/cell

The structure in Quantum ESPRESSO input format:
```
&SYSTEM
  ibrav = 0, nat = 10, ntyp = 3
/
ATOMIC_SPECIES
Li 6.94 Li.upf
Ca 40.08 Ca.upf
Mg 24.30 Mg.upf
ATOMIC_POSITIONS crystal
Li 0.0000 0.0000 0.0000
Li 0.5814 0.5814 0.2292
Ca 0.1926 0.1926 0.5311
Ca 0.2011 0.2011 0.1099
Ca 0.3804 0.3804 0.1193
Ca 0.3889 0.3889 0.6980
Ca 0.5881 0.5881 0.7900
Ca 0.9933 0.9933 0.4393
Mg 0.7706 0.7706 0.8468
Mg 0.8112 0.8112 0.3821
CELL_PARAMETERS angstrom
10.1066 -1.9104 0.0000
10.1066 1.9104 0.0000
-1.7959 0.0000 8.6631
```

=====

(two)
The following is a GGA-PBE calculation of crystalline LiCa3Mg at its relaxed geometry, from the Alexandria database. Values from VASP.

Values from the calculation:
Symmetry   Pm-3m (221)
M_tot   0.0 μB per formula unit
V   191.2 Å³/cell

The structure in Quantum ESPRESSO input format:
```
&SYSTEM
  ibrav = 0, nat = 5, ntyp = 3
/
ATOMIC_SPECIES
Li 6.94 Li.upf
Ca 40.08 Ca.upf
Mg 24.30 Mg.upf
ATOMIC_POSITIONS crystal
Li 0.0000 0.0000 0.0000
Ca 0.0000 0.0000 0.5000
Ca 0.0000 0.5000 0.0000
Ca 0.5000 0.0000 0.0000
Mg 0.5000 0.5000 0.5000
CELL_PARAMETERS angstrom
5.7609 0.0000 0.0000
0.0000 5.7609 0.0000
0.0000 0.0000 5.7609
```

=====

(three)
The following is a GGA-PBE calculation of crystalline LiCa3Mg at its relaxed geometry, from the Alexandria database. Values from VASP.

Values from the calculation:
Symmetry   Cmcm (63)
M_tot   0.0 μB per formula unit
V   335.0 Å³/cell

The structure in Quantum ESPRESSO input format:
```
&SYSTEM
  ibrav = 0, nat = 10, ntyp = 3
/
ATOMIC_SPECIES
Li 6.94 Li.upf
Ca 40.08 Ca.upf
Mg 24.30 Mg.upf
ATOMIC_POSITIONS crystal
Li 0.1566 0.8434 0.7500
Li 0.8434 0.1566 0.2500
Ca 0.0647 0.9353 0.2500
Ca 0.2504 0.7496 0.2500
Ca 0.4365 0.5635 0.2500
Ca 0.5635 0.4365 0.7500
Ca 0.7496 0.2504 0.7500
Ca 0.9353 0.0647 0.7500
Mg 0.3440 0.6560 0.7500
Mg 0.6560 0.3440 0.2500
CELL_PARAMETERS angstrom
2.8058 -10.6166 0.0000
2.8058 10.6166 0.0000
0.0000 0.0000 5.6231
```

=====

Most favorable first, least favorable last: (three), (one), (two)

=====

(one)
The following is a GGA-PBE calculation of crystalline Li2Ca3Mg3 at its relaxed geometry, from the Alexandria database. Values from VASP.

Values from the calculation:
Symmetry   P-62m (189)
M_tot   0.0 μB per formula unit
V   236.1 Å³/cell

The structure in Quantum ESPRESSO input format:
```
&SYSTEM
  ibrav = 0, nat = 8, ntyp = 3
/
ATOMIC_SPECIES
Li 6.94 Li.upf
Ca 40.08 Ca.upf
Mg 24.30 Mg.upf
ATOMIC_POSITIONS crystal
Li 0.3333 0.6667 0.0000
Li 0.6667 0.3333 0.0000
Ca 0.0000 0.5989 0.5000
Ca 0.4011 0.4011 0.5000
Ca 0.5989 0.0000 0.5000
Mg 0.0000 0.2337 0.0000
Mg 0.2337 0.0000 0.0000
Mg 0.7663 0.7663 0.0000
CELL_PARAMETERS angstrom
8.0541 0.0000 0.0000
-4.0271 6.9751 0.0000
0.0000 0.0000 4.2027
```

=====

(two)
The following is a GGA-PBE calculation of crystalline Li2Ca3Mg3 at its relaxed geometry, from the Alexandria database. Values from VASP.

Values from the calculation:
Symmetry   Pmmm (47)
M_tot   0.0 μB per formula unit
V   230.1 Å³/cell

The structure in Quantum ESPRESSO input format:
```
&SYSTEM
  ibrav = 0, nat = 8, ntyp = 3
/
ATOMIC_SPECIES
Li 6.94 Li.upf
Ca 40.08 Ca.upf
Mg 24.30 Mg.upf
ATOMIC_POSITIONS crystal
Li 0.0000 0.0000 0.2293
Li 0.0000 0.0000 0.7707
Ca 0.0000 0.5000 0.5000
Ca 0.5000 0.0000 0.0000
Ca 0.5000 0.0000 0.5000
Mg 0.0000 0.5000 0.0000
Mg 0.5000 0.5000 0.2301
Mg 0.5000 0.5000 0.7699
CELL_PARAMETERS angstrom
5.4145 0.0000 0.0000
0.0000 5.5134 0.0000
0.0000 0.0000 7.7085
```

=====

Most favorable first, least favorable last: (two), (one)

=====

(one)
The following is a GGA-PBE calculation of crystalline Li2Ca7Mg2 at its relaxed geometry, from the Alexandria database. Values from VASP.

Values from the calculation:
Symmetry   Cmmm (65)
M_tot   0.0 μB per formula unit
V   408.6 Å³/cell

The structure in Quantum ESPRESSO input format:
```
&SYSTEM
  ibrav = 0, nat = 11, ntyp = 3
/
ATOMIC_SPECIES
Li 6.94 Li.upf
Ca 40.08 Ca.upf
Mg 24.30 Mg.upf
ATOMIC_POSITIONS crystal
Li 0.2131 0.7869 0.0000
Li 0.7869 0.2131 0.0000
Ca 0.0000 0.0000 0.2423
Ca 0.0000 0.0000 0.7577
Ca 0.0000 0.5000 0.2901
Ca 0.0000 0.5000 0.7099
Ca 0.5000 0.0000 0.2901
Ca 0.5000 0.0000 0.7099
Ca 0.5000 0.5000 0.0000
Mg 0.3208 0.3208 0.5000
Mg 0.6792 0.6792 0.5000
CELL_PARAMETERS angstrom
3.9852 -6.1349 0.0000
3.9852 6.1349 0.0000
0.0000 0.0000 8.3565
```

=====

(two)
The following is a GGA-PBE calculation of crystalline Li2Ca7Mg2 at its relaxed geometry, from the Alexandria database. Values from VASP.

Values from the calculation:
Symmetry   C2/m (12)
M_tot   0.0 μB per formula unit
V   380.8 Å³/cell

The structure in Quantum ESPRESSO input format:
```
&SYSTEM
  ibrav = 0, nat = 11, ntyp = 3
/
ATOMIC_SPECIES
Li 6.94 Li.upf
Ca 40.08 Ca.upf
Mg 24.30 Mg.upf
ATOMIC_POSITIONS crystal
Li 0.1017 0.1017 0.3241
Li 0.8983 0.8983 0.6759
Ca 0.0224 0.4033 0.6928
Ca 0.3356 0.3356 0.0775
Ca 0.4033 0.0224 0.6928
Ca 0.5000 0.5000 0.5000
Ca 0.5967 0.9776 0.3072
Ca 0.6644 0.6644 0.9225
Ca 0.9776 0.5967 0.3072
Mg 0.1867 0.8133 0.0000
Mg 0.8133 0.1867 0.0000
CELL_PARAMETERS angstrom
4.2862 -5.0989 0.0000
4.2862 5.0989 0.0000
-2.3759 0.0000 8.7123
```

=====

Most favorable first, least favorable last: (two), (one)

=====

(one)
The following is a GGA-PBE calculation of crystalline LiCaMg2 at its relaxed geometry, from the Alexandria database. Values from VASP.

Values from the calculation:
Symmetry   Pm (6)
M_tot   0.0 μB per formula unit
V   106.3 Å³/cell

The structure in Quantum ESPRESSO input format:
```
&SYSTEM
  ibrav = 0, nat = 4, ntyp = 3
/
ATOMIC_SPECIES
Li 6.94 Li.upf
Ca 40.08 Ca.upf
Mg 24.30 Mg.upf
ATOMIC_POSITIONS crystal
Li 0.0000 0.0000 0.0000
Ca 0.3287 0.5000 0.7502
Mg 0.6527 0.0000 0.4447
Mg 0.9967 0.5000 0.2350
CELL_PARAMETERS angstrom
3.3488 0.0000 0.0000
0.0000 4.9945 0.0000
-1.5241 0.0000 6.3534
```

=====

(two)
The following is a GGA-PBE calculation of crystalline LiCaMg2 at its relaxed geometry, from the Alexandria database. Values from VASP.

Values from the calculation:
Symmetry   I4/mmm (139)
M_tot   0.0 μB per formula unit
V   106.6 Å³/cell

The structure in Quantum ESPRESSO input format:
```
&SYSTEM
  ibrav = 0, nat = 4, ntyp = 3
/
ATOMIC_SPECIES
Li 6.94 Li.upf
Ca 40.08 Ca.upf
Mg 24.30 Mg.upf
ATOMIC_POSITIONS crystal
Li 0.0000 0.0000 0.0000
Ca 0.5000 0.5000 0.0000
Mg 0.2500 0.7500 0.5000
Mg 0.7500 0.2500 0.5000
CELL_PARAMETERS angstrom
-2.3870 2.3870 4.6775
2.3870 -2.3870 4.6775
2.3870 2.3870 -4.6775
```

=====

Most favorable first, least favorable last: (two), (one)

=====

(one)
The following is a GGA-PBE calculation of crystalline LiCaMg2 at its relaxed geometry, from the Alexandria database. Values from VASP.

Values from the calculation:
Symmetry   C2/m (12)
M_tot   0.0 μB per formula unit
V   104.9 Å³/cell

The structure in Quantum ESPRESSO input format:
```
&SYSTEM
  ibrav = 0, nat = 4, ntyp = 3
/
ATOMIC_SPECIES
Li 6.94 Li.upf
Ca 40.08 Ca.upf
Mg 24.30 Mg.upf
ATOMIC_POSITIONS crystal
Li 0.0000 0.0000 0.0000
Ca 0.5000 0.5000 0.5000
Mg 0.2737 0.2737 0.7740
Mg 0.7263 0.7263 0.2260
CELL_PARAMETERS angstrom
5.7027 -1.9720 0.0000
5.7027 1.9720 0.0000
-2.3958 0.0000 4.6642
```

=====

(two)
The following is a GGA-PBE calculation of crystalline LiCaMg2 at its relaxed geometry, from the Alexandria database. Values from VASP.

Values from the calculation:
Symmetry   R-3m (166)
M_tot   0.0 μB per formula unit
V   108.7 Å³/cell

The structure in Quantum ESPRESSO input format:
```
&SYSTEM
  ibrav = 0, nat = 4, ntyp = 3
/
ATOMIC_SPECIES
Li 6.94 Li.upf
Ca 40.08 Ca.upf
Mg 24.30 Mg.upf
ATOMIC_POSITIONS crystal
Li 0.0000 0.0000 0.0000
Ca 0.5000 0.5000 0.5000
Mg 0.2582 0.2582 0.2582
Mg 0.7418 0.7418 0.7418
CELL_PARAMETERS angstrom
1.7260 0.9965 10.5353
-1.7260 0.9965 10.5353
0.0000 -1.9930 10.5353
```

=====

Most favorable first, least favorable last: (one), (two)